# PBEsol LiMo2Se, optimized geometry
data_LiMo2Se
_chemical_formula_sum 'Li1 Mo2 Se1'
_cell_length_a 4.431
_cell_length_b 4.431
_cell_length_c 4.631
_cell_angle_alpha 100.04
_cell_angle_beta 100.04
_cell_angle_gamma 40.75
_symmetry_space_group_name_H-M 'P 1'
_symmetry_Int_Tables_number 1
loop_
_symmetry_equiv_pos_as_xyz
'x,y,z'
loop_
_atom_site_label
_atom_site_type_symbol
_atom_site_fract_x
_atom_site_fract_y
_atom_site_fract_z
Li1 Li 0.000 0.000 0.000
Mo1 Mo 0.246 0.246 0.747
Mo2 Mo 0.474 0.474 0.481
Se1 Se 0.741 0.741 0.199
# Total DFT energy (no corrections) in eV/cell: -28.6
# Formation energy (no corrections) in meV per atom: 196


# PBEsol TiCdHg3, optimized geometry
data_TiCdHg3
_chemical_formula_sum 'Ti1 Cd1 Hg3'
_cell_length_a 5.216
_cell_length_b 5.216
_cell_length_c 5.216
_cell_angle_alpha 90.00
_cell_angle_beta 90.00
_cell_angle_gamma 90.00
_symmetry_space_group_name_H-M 'P 1'
_symmetry_Int_Tables_number 1
loop_
_symmetry_equiv_pos_as_xyz
'x,y,z'
loop_
_atom_site_label
_atom_site_type_symbol
_atom_site_fract_x
_atom_site_fract_y
_atom_site_fract_z
Ti1 Ti 0.000 0.000 0.000
Cd1 Cd 0.500 0.500 0.500
Hg1 Hg 0.000 0.500 0.500
Hg2 Hg 0.500 0.000 0.500
Hg3 Hg 0.500 0.500 0.000
# Total DFT energy (no corrections) in eV/cell: -7.1
# Calculated formation energy in eV per atom: 0.832


# PBEsol Sr2CoIr, optimized geometry
data_Sr2CoIr
_chemical_formula_sum 'Sr2 Co1 Ir1'
_cell_length_a 4.897
_cell_length_b 4.897
_cell_length_c 4.897
_cell_angle_alpha 60.00
_cell_angle_beta 60.00
_cell_angle_gamma 60.00
_symmetry_space_group_name_H-M 'P 1'
_symmetry_Int_Tables_number 1
loop_
_symmetry_equiv_pos_as_xyz
'x,y,z'
loop_
_atom_site_label
_atom_site_type_symbol
_atom_site_fract_x
_atom_site_fract_y
_atom_site_fract_z
Sr1 Sr 0.000 0.000 0.000
Sr2 Sr 0.250 0.250 0.250
Co1 Co 0.750 0.750 0.750
Ir1 Ir 0.500 0.500 0.500
# Total DFT energy (no corrections) in eV/cell: -18.9
# Calculated formation energy in eV per atom: 0.585


Number 1: N(E_F) 2.67 states/eV/f.u.. Number 2: N(E_F) 6.20 states/eV/f.u.. Number 3: N(E_F) 4.72 states/eV/f.u..